Compound: Ac2AlGaPt6
Source: Alexandria via LeMat-Bulk
Functional: GGA-PBE
Structure: optimized geometry

Cell: 5.885 8.208 8.207 Å, 42.02 68.97 89.99°
Fractional coordinates of all 10 atoms:
Pt 0.252 0.747 0.009
Pt 0.261 0.253 0.991
Pt 0.748 0.740 0.504
Pt 0.252 0.260 0.496
Pt 0.748 0.253 0.991
Pt 0.739 0.747 0.009
Ac 0.215 0.786 0.570
Ac 0.785 0.214 0.430
Ga 0.000 0.000 0.000
Al 0.500 0.500 0.000

Calculated values
Energy of formation from the pure elements ... -8.34 eV per formula unit
DFT total energy ... -0.219 hartree per atom
Crystal system ... trigonal
Volume ... 224 Å³/f.u.
Space-group type ... R-3m
Density of states at the Fermi level ... 4.5 states/eV/f.u.